! PBE-GGA TiSe, relaxed; values from VASP
! Crystal system: orthorhombic
! Magnetic moment in μB per cell: 0.0
! Volume in Å³/f.u.: 41.4
! Raw formation energy in eV/atom: -0.89
! Total energy in eV per cell: -79.0
&SYSTEM
  ibrav = 0, nat = 12, ntyp = 2
/
ATOMIC_SPECIES
Ti 47.87 Ti.upf
Se 78.96 Se.upf
ATOMIC_POSITIONS angstrom
Ti 0.8777 1.4668 5.9294
Ti 0.8777 4.5024 5.9294
Ti 0.8777 8.9539 1.9575
Ti 2.6331 2.9846 3.9739
Ti 2.6331 7.4361 0.0019
Ti 2.6331 10.4717 0.0019
Se 0.8777 2.9846 2.0516
Se 0.8777 6.4956 1.5865
Se 0.8777 11.4123 1.5865
Se 2.6331 0.5263 4.3448
Se 2.6331 5.4430 4.3448
Se 2.6331 8.9539 3.8798
CELL_PARAMETERS angstrom
3.5108 0.0000 0.0000
0.0000 11.9385 0.0000
0.0000 0.0000 5.9314


! PBE-GGA TiSe, relaxed; values from VASP
! Crystal system: cubic
! Magnetic moment in μB per cell: 11.4
! Volume in Å³/f.u.: 62.0
! Raw formation energy in eV/atom: -0.53
! Total energy in eV per cell: -74.6
&SYSTEM
  ibrav = 0, nat = 12, ntyp = 2
/
ATOMIC_SPECIES
Ti 47.87 Ti.upf
Se 78.96 Se.upf
ATOMIC_POSITIONS angstrom
Ti 0.0000 1.7982 3.5964
Ti 0.0000 5.3945 3.5964
Ti 1.7982 3.5964 0.0000
Ti 3.5964 0.0000 1.7982
Ti 3.5964 0.0000 5.3945
Ti 5.3945 3.5964 0.0000
Se 0.0000 3.5964 1.7982
Se 0.0000 3.5964 5.3945
Se 1.7982 0.0000 3.5964
Se 3.5964 1.7982 0.0000
Se 3.5964 5.3945 0.0000
Se 5.3945 0.0000 3.5964
CELL_PARAMETERS angstrom
7.1927 0.0000 0.0000
0.0000 7.1927 0.0000
0.0000 0.0000 7.1927


! PBE-GGA TiSe, relaxed; values from VASP
! Crystal system: cubic
! Magnetic moment in μB per cell: 1.8
! Volume in Å³/f.u.: 61.4
! Raw formation energy in eV/atom: -0.76
! Total energy in eV per cell: -51.6
&SYSTEM
  ibrav = 0, nat = 8, ntyp = 2
/
ATOMIC_SPECIES
Ti 47.87 Ti.upf
Se 78.96 Se.upf
ATOMIC_POSITIONS angstrom
Ti 2.9519 2.9519 -2.9519
Ti 2.9519 -2.9519 2.9519
Ti 0.9924 0.9924 0.9924
Ti -2.9519 2.9519 2.9519
Se 1.4498 1.4498 -1.4498
Se 1.4498 -1.4498 1.4498
Se -1.4498 1.4498 1.4498
Se 2.4945 2.4945 2.4945
CELL_PARAMETERS angstrom
-3.9443 3.9443 3.9443
3.9443 -3.9443 3.9443
3.9443 3.9443 -3.9443


! PBE-GGA Ti9Se2, relaxed; values from VASP
! Crystal system: orthorhombic
! Magnetic moment in μB per cell: 0.0
! Volume in Å³/f.u.: 183.0
! Raw formation energy in eV/atom: -0.45
! Total energy in eV per cell: -165.9
&SYSTEM
  ibrav = 0, nat = 22, ntyp = 2
/
ATOMIC_SPECIES
Ti 47.87 Ti.upf
Se 78.96 Se.upf
ATOMIC_POSITIONS angstrom
Ti 0.0000 0.0000 0.0000
Ti 0.6506 2.1621 1.7349
Ti 0.7552 8.9232 0.0000
Ti 1.5076 6.8599 1.7349
Ti 1.5150 12.2265 0.0000
Ti 1.8925 4.4884 0.0000
Ti 1.8999 14.5981 1.7349
Ti 2.6523 1.1850 0.0000
Ti 2.7569 9.9002 1.7349
Ti 3.4075 7.7381 0.0000
Ti 4.0582 5.5761 1.7349
Ti 4.1627 14.2912 0.0000
Ti 4.9152 0.8782 1.7349
Ti 4.9226 10.9878 0.0000
Ti 5.3000 3.2497 0.0000
Ti 5.3074 8.6163 1.7349
Ti 6.0599 6.5531 0.0000
Ti 6.1644 13.3142 1.7349
Se 0.1350 10.7836 1.7349
Se 3.2725 3.0454 1.7349
Se 3.5425 12.4308 1.7349
Se 6.6801 4.6927 1.7349
CELL_PARAMETERS angstrom
6.8151 0.0000 0.0000
0.0000 15.4762 0.0000
0.0000 0.0000 3.4698


! PBE-GGA TiSe, relaxed; values from VASP
! Crystal system: orthorhombic
! Magnetic moment in μB per cell: 0.0
! Volume in Å³/f.u.: 38.1
! Raw formation energy in eV/atom: -0.92
! Total energy in eV per cell: -105.8
&SYSTEM
  ibrav = 0, nat = 16, ntyp = 2
/
ATOMIC_SPECIES
Ti 47.87 Ti.upf
Se 78.96 Se.upf
ATOMIC_POSITIONS angstrom
Ti 0.3315 0.7137 2.4434
Ti 0.4967 1.9515 7.8699
Ti 2.4542 4.2701 3.7204
Ti 2.6194 5.5079 6.5929
Ti 3.2824 2.3971 5.8556
Ti 3.4476 1.1593 0.4291
Ti 5.4051 5.0622 4.5786
Ti 5.5703 3.8245 1.7061
Se 1.0967 3.5512 5.8754
Se 1.2787 5.8145 0.3878
Se 1.6722 0.4071 4.5373
Se 1.8542 2.6704 1.7259
Se 4.0476 5.7812 2.4236
Se 4.2296 3.5178 7.9112
Se 4.6231 2.7037 3.7617
Se 4.8051 0.4404 6.5731
CELL_PARAMETERS angstrom
5.9018 0.0000 0.0000
0.0000 6.2216 0.0000
0.0000 0.0000 8.2990


! PBE-GGA TiSe, relaxed; values from VASP
! Crystal system: cubic
! Magnetic moment in μB per cell: 1.2
! Volume in Å³/f.u.: 48.9
! Raw formation energy in eV/atom: -0.62
! Total energy in eV per cell: -12.6
&SYSTEM
  ibrav = 0, nat = 2, ntyp = 2
/
ATOMIC_SPECIES
Ti 47.87 Ti.upf
Se 78.96 Se.upf
ATOMIC_POSITIONS angstrom
Ti 0.0000 0.0000 0.0000
Se 4.3540 4.3540 4.3540
CELL_PARAMETERS angstrom
0.0000 2.9026 2.9026
2.9026 0.0000 2.9026
2.9026 2.9026 0.0000


! PBE-GGA Ti3Se4, relaxed; values from VASP
! Crystal system: monoclinic
! Magnetic moment in μB per cell: 0.7
! Polymorph energy (0 for the lowest one) in eV per atom: 0.0510
! Volume in Å³/f.u.: 138.5
! Raw formation energy in eV/atom: -1.17
! Total energy in eV per cell: -45.8
&SYSTEM
  ibrav = 0, nat = 7, ntyp = 2
/
ATOMIC_SPECIES
Ti 47.87 Ti.upf
Se 78.96 Se.upf
ATOMIC_POSITIONS angstrom
Ti 0.0000 0.0000 0.0000
Ti 2.5736 0.0000 1.6730
Ti 8.1555 0.0000 4.0497
Se 0.2013 0.0000 2.5662
Se 4.9203 0.0000 0.2034
Se 5.8088 0.0000 5.5193
Se 10.5278 0.0000 3.1565
CELL_PARAMETERS angstrom
6.8498 -1.7668 0.0000
6.8498 1.7668 0.0000
-2.9705 0.0000 5.7227


! PBE-GGA TiSe, relaxed; values from VASP
! Crystal system: trigonal
! Magnetic moment in μB per cell: 0.1
! Volume in Å³/f.u.: 35.6
! Raw formation energy in eV/atom: -0.96
! Total energy in eV per cell: -53.2
&SYSTEM
  ibrav = 0, nat = 8, ntyp = 2
/
ATOMIC_SPECIES
Ti 47.87 Ti.upf
Se 78.96 Se.upf
ATOMIC_POSITIONS angstrom
Ti 0.0000 0.0000 0.0000
Ti 0.0000 0.0000 3.2504
Ti 0.0000 0.0000 18.9301
Ti 0.0000 0.0000 34.6098
Se 0.0000 0.0000 7.8622
Se 0.0000 0.0000 14.2212
Se 0.0000 0.0000 23.6390
Se 0.0000 0.0000 29.9980
CELL_PARAMETERS angstrom
1.8047 1.0419 12.6201
-1.8047 1.0419 12.6201
0.0000 -2.0839 12.6201